Record 1
Here is a geometry-optimized Ce3Fe5H12 structure from Alexandria. Energies are from PBE-GGA.

The space group is Ia-3d (No. 230) and the conventional cell measures 11.345, 11.345 and 11.345 Å, with angles of 90.00, 90.00 and 90.00 degrees. The asymmetric unit holds Ce at (0.000, 0.250, 0.125), Fe at (0.000, 0.000, 0.000), Fe at (0.000, 0.250, 0.375) and H at (0.038, 0.049, 0.635).

For the total energy, the calculation gives -824.50 eV per cell.

Record 2
Here is a geometry-optimized Tb2CdCu structure from Alexandria. Energies are from PBE-GGA.

The space group is Fm-3m (No. 225) and the conventional cell measures 7.269, 7.269 and 7.269 Å, with angles of 90.00, 90.00 and 90.00 degrees. The asymmetric unit holds Tb at (0.250, 0.250, 0.250), Cd at (0.000, 0.000, 0.000) and Cu at (0.000, 0.000, 0.500).

As for the formation energy: -0.22 eV per atom. The calculation puts the offset from the most stable computed form at 0.17 eV/f.u. For the total energy, the calculation gives -60.68 eV per cell.

Record 3
Here is a geometry-optimized ScSbAsI2 structure from Alexandria. Energies are from PBE-GGA.

The space group is P4/mmm (No. 123) and the conventional cell measures 5.467, 5.467 and 5.679 Å, with angles of 90.00, 90.00 and 90.00 degrees. The asymmetric unit holds Sc at (0.000, 0.000, 0.000), Sb at (0.500, 0.500, 0.000), As at (0.500, 0.500, 0.500) and I at (0.000, 0.500, 0.500).

The calculation puts the offset from the most stable computed form at 1.41 eV/f.u. For the total energy, the calculation gives -16.40 eV per cell.

Record 4
Here is a geometry-optimized GeOsW2 structure from Alexandria. Energies are from PBE-GGA.

The space group is I-42d (No. 122) and the conventional cell measures 3.802, 3.802 and 18.565 Å, with angles of 90.00, 90.00 and 90.00 degrees. The asymmetric unit holds Ge at (0.000, 0.000, 0.000), Os at (0.000, 0.000, 0.500) and W at (0.233, 0.250, 0.125).

As for the formation energy: 0.78 eV per atom. For the total energy, the calculation gives -154.61 eV per cell.

Record 5
Here is a geometry-optimized LiHg2Cl structure from Alexandria. Energies are from PBE-GGA.

The space group is P4/mmm (No. 123) and the conventional cell measures 3.491, 3.491 and 7.713 Å, with angles of 90.00, 90.00 and 90.00 degrees. The asymmetric unit holds Li at (0.000, 0.000, 0.000), Hg at (0.500, 0.500, 0.242) and Cl at (0.000, 0.000, 0.500).

The calculation puts the offset from the most stable computed form at 1.56 eV/f.u. For the total energy, the calculation gives -6.12 eV per cell.

Record 6
Here is a geometry-optimized Th2ZnO structure from Alexandria. Energies are from PBE-GGA.

The space group is R-3m (No. 166, hexagonal axes) and the conventional cell measures 3.4930, 3.4930 and 28.2247 Å, with angles of 90.00, 90.00 and 120.00 degrees. The asymmetric unit holds Th at (0.0000, 0.0000, 0.1119), Zn at (0.0000, 0.0000, 0.0000) and O at (0.0000, 0.0000, 0.5000).

For the total energy, the calculation gives -73.13 eV per cell.